Computed, not measured: a geometry-optimized ZrScTi structure at the PBE level of DFT.

## Properties
- Symmetry: P-6m2, No. 187
- Polymorph energy (0 for the lowest one): 10 meV/atom

Cell lengths 3.1221, 4.8499, 4.8499 Å; angles 120.00, 90.00, 90.00 degrees
Element x y z (fractional)
Zr 0.6666 0.6667 0.3333
Ti 0.1670 0.3333 0.6667
Sc 0.1664 0.0000 0.0000